[1]
This record from Alexandria via LeMat-Bulk describes a relaxed structure of La2SiAgN. The functional is PBEsol.

Properties
- volume (Å³/f.u.) = 122.90
- E_tot (eV/atom) = -5.31
- total magnetic moment (μB/cell) = 0.00
- symmetry = No. 123

Structure (POSCAR):
```
La2SiAgN
1.0
5.7288 0.0000 0.0000
0.0000 5.7288 0.0000
0.0000 0.0000 3.7449
La Si Ag N
2 1 1 1
Direct
0.0000 0.5000 0.0000 La
0.5000 0.0000 0.0000 La
0.0000 0.0000 0.5000 Si
0.5000 0.5000 0.0000 Ag
0.5000 0.5000 0.5000 N
```

---

[2]
This record from Alexandria via LeMat-Bulk describes a relaxed structure of LaAgTe2N. The functional is PBEsol.

Properties
- volume (Å³/f.u.) = 122.68
- E_tot (eV/atom) = -4.78
- total magnetic moment (μB/cell) = 1.50
- symmetry = No. 123

Structure (POSCAR):
```
LaAgTe2N
1.0
5.4836 0.0000 0.0000
0.0000 5.4836 0.0000
0.0000 0.0000 4.0798
La Ag Te N
1 1 2 1
Direct
0.0000 0.0000 0.0000 La
0.5000 0.5000 0.5000 Ag
0.0000 0.5000 0.5000 Te
0.5000 0.0000 0.5000 Te
0.5000 0.5000 0.0000 N
```

---

[3]
This record from Alexandria via LeMat-Bulk describes a relaxed structure of Na2LaAg2. The functional is PBEsol.

Properties
- volume (Å³/f.u.) = 126.32
- total magnetic moment (μB/cell) = 0.00
- energy of formation (eV per atom) = -0.03
- symmetry = No. 139

Structure (POSCAR):
```
Na2LaAg2
1.0
-2.0850 2.0850 7.2643
2.0850 -2.0850 7.2643
2.0850 2.0850 -7.2643
Na La Ag
2 1 2
Direct
0.2500 0.7500 0.5000 Na
0.7500 0.2500 0.5000 Na
0.0000 0.0000 0.0000 La
0.4060 0.4060 0.0000 Ag
0.5940 0.5940 0.0000 Ag
```

---

[4]
This record from Alexandria via LeMat-Bulk describes a relaxed structure of NaLa2Ag2. The functional is PBEsol.

Properties
- volume (Å³/f.u.) = 139.49
- total magnetic moment (μB/cell) = 0.00
- energy of formation (eV per atom) = -0.11
- symmetry = No. 127

Structure (POSCAR):
```
NaLa2Ag2
1.0
8.4108 0.0000 0.0000
0.0000 8.4108 0.0000
0.0000 0.0000 3.9435
Na La Ag
2 4 4
Direct
0.0000 0.0000 0.0000 Na
0.5000 0.5000 0.0000 Na
0.1624 0.3376 0.5000 La
0.3376 0.8376 0.5000 La
0.6624 0.1624 0.5000 La
0.8376 0.6624 0.5000 La
0.1280 0.6280 0.0000 Ag
0.3720 0.1280 0.0000 Ag
0.6280 0.8720 0.0000 Ag
0.8720 0.3720 0.0000 Ag
```

---

[5]
This record from Alexandria via LeMat-Bulk describes a relaxed structure of LaNbAg2. The functional is PBEsol.

Properties
- volume (Å³/f.u.) = 87.73
- total magnetic moment (μB/cell) = 2.21
- energy of formation (eV per atom) = 0.35
- symmetry = No. 225

Structure (POSCAR):
```
LaNbAg2
1.0
0.0000 3.5267 3.5267
3.5267 0.0000 3.5267
3.5267 3.5267 0.0000
La Nb Ag
1 1 2
Direct
0.0000 0.0000 0.0000 La
0.5000 0.5000 0.5000 Nb
0.2500 0.2500 0.2500 Ag
0.7500 0.7500 0.7500 Ag
```

---

[6]
This record from Alexandria via LeMat-Bulk describes a relaxed structure of LaTaNb2Ag. The functional is PBEsol.

Properties
- volume (Å³/f.u.) = 124.00
- total magnetic moment (μB/cell) = 0.00
- energy of formation (eV per atom) = 0.95
- symmetry = No. 123

Structure (POSCAR):
```
LaTaNb2Ag
1.0
4.8842 0.0000 0.0000
0.0000 4.8842 0.0000
0.0000 0.0000 5.1980
La Ta Nb Ag
1 1 2 1
Direct
0.0000 0.0000 0.0000 La
0.5000 0.5000 0.5000 Ta
0.0000 0.5000 0.5000 Nb
0.5000 0.0000 0.5000 Nb
0.5000 0.5000 0.0000 Ag
```

---

- Among the records above, which one has the lowest volume?
  LaNbAg2

---

- total magnetic moment of number 5 (LaNbAg2)?
  2.21 μB/cell